HfTi2Zn9: relaxed, PBE.

Properties
Magnetic moment in μB per formula unit: 2.0
Space-group type: R-3m
Calculated formation energy in eV/atom: -0.1301
Volume in Å³/cell: 185.0

Unit cell a=5.106 b=5.106 c=8.710 alpha=72.96 beta=72.96 gamma=60.00
Each line ends with the local moment (μB).
Fractional positions:
Hf (0.000, 0.000, 0.000)  0.03
Ti (0.855, 0.855, 0.434)  0.74
Ti (0.145, 0.145, 0.566)  0.74
Zn (0.665, 0.665, 0.004)  0.00
Zn (0.335, 0.335, 0.996)  0.00
Zn (0.500, 0.500, 0.500)  -0.01
Zn (0.411, 0.411, 0.258)  0.00
Zn (0.921, 0.411, 0.258)  0.00
Zn (0.411, 0.921, 0.258)  0.00
Zn (0.589, 0.589, 0.742)  0.00
Zn (0.589, 0.079, 0.742)  0.00
Zn (0.079, 0.589, 0.742)  0.00

La2AsP: relaxed, PBE.

Properties
Magnetic moment in μB per formula unit: 0.0
Space-group type: I-42d
Calculated formation energy in eV/atom: -1.1032
Volume in Å³/cell: 302.3

Unit cell a=6.740 b=6.740 c=8.185 alpha=65.69 beta=65.69 gamma=90.00
Fractional positions:
P (0.500, 0.500, 0.000)
P (0.250, 0.750, 0.500)
As (0.000, 0.000, 0.000)
As (0.750, 0.250, 0.500)
La (0.614, 0.125, 0.250)
La (0.136, 0.625, 0.250)
La (0.375, 0.386, 0.750)
La (0.875, 0.864, 0.750)

ScBe2Mo: relaxed, PBE.

Properties
Magnetic moment in μB per formula unit: 0.0
Space-group type: P4mm
Calculated formation energy in eV/atom: 0.1046
Volume in Å³/cell: 54.0

Unit cell a=2.755 b=2.755 c=7.112 alpha=90.00 beta=90.00 gamma=90.00
Fractional positions:
Sc (0.500, 0.500, 0.780)
Be (0.000, 0.000, 0.061)
Be (0.500, 0.500, 0.210)
Mo (0.000, 0.000, 0.449)

Sc2GaRuBr: relaxed, PBE.

Properties
Magnetic moment in μB per formula unit: 0.0
Space-group type: P4/mmm
Formation energy from raw total energies in eV per atom: 0.6609
Volume in Å³/cell: 114.7

Unit cell a=4.845 b=4.886 c=4.845 alpha=90.00 beta=90.00 gamma=90.00
Fractional positions:
Sc (0.000, 0.000, 0.500)
Sc (0.500, 0.000, 0.000)
Ru (0.500, 0.500, 0.500)
Ga (0.000, 0.500, 0.000)
Br (0.000, 0.000, 0.000)

Ba2U2O3: relaxed, PBE.

Properties
Magnetic moment in μB per formula unit: 5.9
Space-group type: Pm
Formation energy from raw total energies in eV per atom: -1.8309
Volume in Å³/cell: 192.9

Unit cell a=4.003 b=6.004 c=8.026 alpha=89.17 beta=90.00 gamma=90.00
Each line ends with the local moment (μB).
Fractional positions:
Ba (0.500, 0.015, 0.982)  0.10
Ba (0.500, 0.040, 0.485)  0.06
U (0.000, 0.489, 0.232)  2.35
U (0.000, 0.543, 0.719)  2.35
O (0.500, 0.356, 0.207)  -0.07
O (0.000, 0.369, 0.486)  -0.06
O (0.500, 0.688, 0.730)  -0.07

Nd2Ho6Mg: relaxed, PBE.

Properties
Magnetic moment in μB per formula unit: 0.0
Space-group type: C2/c
Calculated formation energy in eV/atom: 0.0819
Volume in Å³/cell: 563.8

Unit cell a=6.500 b=14.475 c=6.500 alpha=74.27 beta=91.18 gamma=74.27
Fractional positions:
Nd (0.269, 0.693, 0.439)
Nd (0.561, 0.807, 0.731)
Nd (0.731, 0.307, 0.561)
Nd (0.439, 0.193, 0.269)
Ho (0.213, 0.461, 0.369)
Ho (0.631, 0.039, 0.787)
Ho (0.787, 0.539, 0.631)
Ho (0.369, 0.961, 0.213)
Ho (0.108, 0.075, 0.592)
Ho (0.408, 0.425, 0.892)
Ho (0.892, 0.925, 0.408)
Ho (0.592, 0.575, 0.108)
Ho (0.081, 0.859, 0.947)
Ho (0.053, 0.641, 0.919)
Ho (0.919, 0.141, 0.053)
Ho (0.947, 0.359, 0.081)
Mg (0.743, 0.750, 0.257)
Mg (0.257, 0.250, 0.743)

CaPrZnSb: relaxed, PBE.

Properties
Magnetic moment in μB per formula unit: 0.0
Space-group type: F-43m
Formation energy from raw total energies in eV per atom: -0.5503
Volume in Å³/cell: 108.9

Unit cell a=5.361 b=5.361 c=5.361 alpha=60.00 beta=60.00 gamma=60.00
Fractional positions:
Pr (0.750, 0.750, 0.750)
Sb (0.000, 0.000, 0.000)
Zn (0.500, 0.500, 0.500)
Ca (0.250, 0.250, 0.250)

TaAsF: relaxed, PBE.

Properties
Magnetic moment in μB per formula unit: 0.0
Space-group type: C2/m
Formation energy from raw total energies in eV per atom: -1.1969
Volume in Å³/cell: 139.8

Unit cell a=3.967 b=6.468 c=7.814 alpha=49.62 beta=90.00 gamma=72.15
Fractional positions:
Ta (0.365, 0.770, 0.689)
Ta (0.635, 0.230, 0.311)
As (0.922, 0.656, 0.571)
As (0.078, 0.344, 0.429)
F (0.608, 0.284, 0.026)
F (0.392, 0.716, 0.974)

Ce2NdGe: relaxed, PBE.

Properties
Magnetic moment in μB per formula unit: 0.1
Space-group type: P2_1/m
Calculated formation energy in eV/atom: -0.4612
Volume in Å³/cell: 210.7

Unit cell a=4.326 b=4.389 c=11.288 alpha=100.51 beta=90.00 gamma=90.00
Fractional positions:
Ce (0.750, 0.395, 0.879)
Ce (0.250, 0.605, 0.121)
Ce (0.250, 0.988, 0.877)
Ce (0.750, 0.012, 0.123)
Nd (0.250, 0.300, 0.606)
Nd (0.750, 0.700, 0.394)
Ge (0.750, 0.822, 0.675)
Ge (0.250, 0.178, 0.325)

Co2ReNi2: relaxed, PBE.

Properties
Magnetic moment in μB per formula unit: 2.1
Space-group type: C2/m
Calculated formation energy in eV/atom: 0.0149
Volume in Å³/cell: 57.6

Unit cell a=4.370 b=4.370 c=4.416 alpha=98.75 beta=100.30 gamma=131.73
Each line ends with the local moment (μB).
Fractional positions:
Co (0.801, 0.396, 0.197)  0.97
Co (0.199, 0.604, 0.803)  0.97
Re (0.000, 0.000, 0.000)  -0.16
Ni (0.398, 0.201, 0.599)  0.17
Ni (0.602, 0.799, 0.401)  0.17

MoIrOs2: relaxed, PBE.

Properties
Magnetic moment in μB per formula unit: 0.0
Space-group type: P2/m
Calculated formation energy in eV/atom: 0.3549
Volume in Å³/cell: 60.7

Unit cell a=4.620 b=2.737 c=4.804 alpha=88.16 beta=90.00 gamma=90.00
Fractional positions:
Ir (0.500, 0.250, 0.250)
Mo (0.500, 0.750, 0.750)
Os (0.000, 0.079, 0.999)
Os (0.000, 0.421, 0.501)

AsRuW2: relaxed, PBE.

Properties
Magnetic moment in μB per formula unit: 0.0
Space-group type: I-4m2
Calculated formation energy in eV/atom: 0.3669
Volume in Å³/cell: 61.2

Unit cell a=4.958 b=4.958 c=4.958 alpha=134.41 beta=134.41 gamma=66.45
Fractional positions:
Ru (0.750, 0.250, 0.500)
As (0.500, 0.500, 0.000)
W (0.000, 0.000, 0.000)
W (0.250, 0.750, 0.500)